Record 1
A relaxed structure of TaHRuRh2. Source: Alexandria, functional GGA-PBE.

- calculated volume (Å³/cell) = 62
- E_tot (eV per atom) = -8.156
- energy above the lowest structure with this stoichiometry (meV per atom) = 99

CIF file:
```
data_TaHRuRh2
_symmetry_space_group_name_H-M 'P 4/m m m'
_symmetry_Int_Tables_number 123
_symmetry_space_group_name_Hall '-P 4 2'
_cell_length_a 3.8669
_cell_length_b 3.8669
_cell_length_c 4.1192
_cell_angle_alpha 90.00
_cell_angle_beta 90.00
_cell_angle_gamma 90.00
loop_
_atom_site_label
_atom_site_type_symbol
_atom_site_fract_x
_atom_site_fract_y
_atom_site_fract_z
_atom_site_occupancy
Ta1 Ta 0.0000 0.0000 0.0000 1
H1 H 0.0000 0.0000 0.5000 1
Ru1 Ru 0.5000 0.5000 0.0000 1
Rh1 Rh 0.0000 0.5000 0.5000 1
```

=====

Record 2
A relaxed structure of LiC. Source: Alexandria, functional GGA-PBE.

- calculated volume (Å³/cell) = 85
- E_tot (eV per atom) = -5.419
- energy above the lowest structure with this stoichiometry (meV per atom) = 132

CIF file:
```
data_LiC
_symmetry_space_group_name_H-M 'I m m a'
_symmetry_Int_Tables_number 74
_symmetry_space_group_name_Hall '-I 2b 2'
_cell_length_a 2.5674
_cell_length_b 5.7798
_cell_length_c 5.7295
_cell_angle_alpha 90.00
_cell_angle_beta 90.00
_cell_angle_gamma 90.00
loop_
_atom_site_label
_atom_site_type_symbol
_atom_site_fract_x
_atom_site_fract_y
_atom_site_fract_z
_atom_site_occupancy
Li1 Li 0.0000 0.0000 0.0000 1
C1 C 0.0000 0.2500 0.3026 1
```